(1)
A relaxed structure of Ga2BiPb. Source: the Alexandria database, functional PBE.

Cell: 6.526 6.526 7.804 Å, 65.28 65.28 90.00°
Atoms (fractional coordinates):
Ga1 0.375 0.376 0.750
Ga2 0.126 0.625 0.250
Bi1 0.000 0.000 0.000
Pb1 0.500 0.500 0.000
Bi2 0.750 0.250 0.500
Ga3 0.624 0.125 0.250
Pb2 0.250 0.750 0.500
Ga4 0.875 0.874 0.750

Summary:
space-group type	I-42d (122)
polymorph energy (0 for the lowest one)	0.39	eV/f.u.

=====

(2)
A relaxed structure of GaBi4Pb15. Source: the Alexandria database, functional PBE.

Cell: 5.691 5.691 19.314 Å, 90.00 90.00 90.00°
Atoms (fractional coordinates):
Pb1 0.500 0.500 0.204
Bi1 0.000 0.000 0.183
Pb2 0.500 0.000 0.704
Pb3 0.500 0.000 0.296
Pb4 0.500 0.000 0.094
Pb5 0.500 0.000 0.500
Pb6 0.500 0.000 0.906
Pb7 0.500 0.500 0.403
Bi2 0.000 0.000 0.394
Pb8 0.500 0.500 0.597
Ga1 0.000 0.000 0.000
Pb9 0.000 0.500 0.500
Pb10 0.000 0.500 0.704
Pb11 0.000 0.500 0.094
Bi3 0.000 0.000 0.606
Pb12 0.500 0.500 0.000
Pb13 0.000 0.500 0.906
Pb14 0.000 0.500 0.296
Bi4 0.000 0.000 0.817
Pb15 0.500 0.500 0.796

Summary:
energy	-3.665	eV per atom
space-group type	P4/mmm (123)

=====

(3)
A relaxed structure of GaBiPb2. Source: the Alexandria database, functional PBE.

Cell: 5.493 5.493 5.493 Å, 60.00 60.00 60.00°
Atoms (fractional coordinates):
Ga1 0.000 0.000 0.000
Bi1 0.500 0.500 0.500
Pb1 0.750 0.750 0.750
Pb2 0.250 0.250 0.250

Summary:
space-group type	Fm-3m (225)
polymorph energy (0 for the lowest one)	0.12	eV/f.u.